Entry 1:
First-principles (PBE) data for a geometry-optimized TbTmPa2N4 structure, as listed in Alexandria via LeMat-Bulk.

Unit cell a=6.017 b=3.468 c=6.037 alpha=90.00 beta=109.45 gamma=90.00
Space group P2/m (No. 10)
Unique sites:
Tb 0.000 0.000 0.000 (multiplicity 1)
Tm 0.500 0.500 0.000 (multiplicity 1)
Pa 0.000 0.500 0.500 (multiplicity 1)
Pa 0.500 0.000 0.500 (multiplicity 1)
N 0.253 0.000 0.746 (multiplicity 2)
N 0.258 0.500 0.258 (multiplicity 2)

Calculated values
Formation energy (no corrections)   -1669 meV/atom

---

Entry 2:
First-principles (PBE) data for a geometry-optimized K2Sn2Pd structure, as listed in Alexandria via LeMat-Bulk.

Unit cell a=4.5923 b=4.5923 c=32.3861 alpha=90.00 beta=90.00 gamma=120.00
Space group R-3m (No. 166, hexagonal axes)
Unique sites:
K 0.0000 0.0000 0.0699 (multiplicity 6)
Sn 0.0000 0.0000 0.1933 (multiplicity 6)
Pd 0.0000 0.0000 0.5000 (multiplicity 3)

Calculated values
Excess energy over the best structure of this formula in the dataset   0 meV per atom
Formation enthalpy at 0 K   -0.328 eV/atom

---

Entry 3:
First-principles (PBE) data for a geometry-optimized Tb2Pm2NdY structure, as listed in Alexandria via LeMat-Bulk.

Unit cell a=6.752 b=17.766 c=3.409 alpha=90.00 beta=90.00 gamma=90.00
Space group Pnnm (No. 58)
Unique sites:
Tb 0.243 0.178 0.000 (multiplicity 4)
Pm 0.238 0.348 0.500 (multiplicity 4)
Nd 0.000 0.500 0.000 (multiplicity 2)
Y 0.000 0.000 0.000 (multiplicity 2)

Calculated values
Formation enthalpy at 0 K   0.257 eV/atom

---

Entry 4:
First-principles (PBE) data for a geometry-optimized NaSi2I structure, as listed in Alexandria via LeMat-Bulk.

Unit cell a=7.244 b=7.244 c=7.244 alpha=90.00 beta=90.00 gamma=90.00
Space group Fm-3m (No. 225)
Unique sites:
Na 0.000 0.000 0.000 (multiplicity 4)
Si 0.250 0.250 0.250 (multiplicity 8)
I 0.000 0.000 0.500 (multiplicity 4)

Calculated values
Excess energy over the best structure of this formula in the dataset   257 meV per atom
Formation energy (no corrections)   851 meV/atom

---

Number 1: calculated total energy -0.3434 Ha/atom. Number 2: calculated total energy -0.1252 Ha/atom. Number 3: calculated total energy -0.1743 Ha/atom. Number 4: calculated total energy -0.0947 Ha/atom.